Entry 1:
KLaHg2: optimized geometry, PBE-GGA.

a = 6.536 Å, b = 6.536 Å, c = 5.450 Å
α = 90.12°, β = 90.12°, γ = 34.05°
Positions (direct):
K  0.000  0.000  0.000
La  0.275  0.275  0.498
Hg  0.556  0.556  0.500
Hg  0.734  0.734  0.998

Computed properties:
- Mass density: 7.38 g cm⁻³
- Uncorrected energy: -7.66 eV for the cell shown
- DOS(E_F): 0.905 states/eV per atom

***

Entry 2:
KLaHg4: optimized geometry, PBE-GGA.

a = 3.584 Å, b = 5.213 Å, c = 9.079 Å
α = 90.00°, β = 90.00°, γ = 90.00°
Positions (direct):
K  0.000  0.000  0.000
La  0.000  0.500  0.500
Hg  0.500  0.000  0.338
Hg  0.500  0.000  0.662
Hg  0.500  0.500  0.167
Hg  0.500  0.500  0.833

Computed properties:
- Offset from the most stable computed form: 0.000 eV per atom
- Mass density: 9.60 g cm⁻³
- DOS(E_F): 0.715 states/eV per atom

***

Entry 3:
KLaHg: optimized geometry, PBE-GGA.

a = 8.224 Å, b = 8.224 Å, c = 8.224 Å
α = 151.97°, β = 151.97°, γ = 40.06°
Positions (direct):
K  0.000  0.000  0.000
La  0.262  0.262  0.000
Hg  0.664  0.664  0.000

Computed properties:
- Offset from the most stable computed form: 0.000 eV per atom
- Mass density: 5.13 g cm⁻³
- DOS(E_F): 0.926 states/eV per atom

***

Entry 4:
KLaHg2: optimized geometry, PBE-GGA.

a = 5.740 Å, b = 5.740 Å, c = 3.798 Å
α = 90.00°, β = 90.00°, γ = 90.00°
Positions (direct):
K  0.000  0.000  0.000
La  0.500  0.500  0.000
Hg  0.000  0.500  0.500
Hg  0.500  0.000  0.500

Computed properties:
- Mass density: 7.69 g cm⁻³
- Uncorrected energy: -7.84 eV for the cell shown
- DOS(E_F): 0.952 states/eV per atom

***

Entry 5:
KLaHg4: optimized geometry, PBE-GGA.

a = 6.193 Å, b = 6.193 Å, c = 6.193 Å
α = 60.00°, β = 60.00°, γ = 60.00°
Positions (direct):
K  0.000  0.000  0.000
La  0.750  0.750  0.750
Hg  0.375  0.375  0.375
Hg  0.375  0.375  0.874
Hg  0.375  0.874  0.375
Hg  0.874  0.375  0.375

Computed properties:
- Offset from the most stable computed form: 0.147 eV per atom
- Mass density: 9.69 g cm⁻³
- DOS(E_F): 1.091 states/eV per atom

***

Entry 6:
KLaHg: optimized geometry, PBE-GGA.

a = 3.886 Å, b = 3.886 Å, c = 8.968 Å
α = 90.00°, β = 90.00°, γ = 120.00°
Positions (direct):
K  0.000  0.000  0.000
La  0.333  0.667  0.426
Hg  0.667  0.333  0.689

Computed properties:
- Offset from the most stable computed form: 0.111 eV per atom
- Mass density: 5.36 g cm⁻³
- DOS(E_F): 0.980 states/eV per atom

***

Entry 7:
K2LaHg: optimized geometry, PBE-GGA.

a = 13.226 Å, b = 13.226 Å, c = 13.226 Å
α = 16.91°, β = 16.91°, γ = 16.91°
Positions (direct):
K  0.240  0.240  0.240
K  0.760  0.760  0.760
La  0.000  0.000  0.000
Hg  0.500  0.500  0.500

Computed properties:
- Mass density: 4.06 g cm⁻³
- Uncorrected energy: -6.89 eV for the cell shown
- DOS(E_F): 0.814 states/eV per atom

***

Entry 8:
K2LaHg: optimized geometry, PBE-GGA.

a = 12.800 Å, b = 12.800 Å, c = 12.800 Å
α = 18.65°, β = 18.65°, γ = 18.65°
Positions (direct):
K  0.000  0.000  0.000
K  0.224  0.224  0.224
La  0.765  0.765  0.765
Hg  0.489  0.489  0.489

Computed properties:
- Mass density: 3.70 g cm⁻³
- Uncorrected energy: -7.32 eV for the cell shown
- DOS(E_F): 1.397 states/eV per atom